This record from Alexandria via LeMat-Bulk describes Mn3AgF after structural relaxation. The functional is GGA+U.

Total magnetization, μB per formula unit: 14.99
E, eV per atom: -4.9993

a = 5.148 Å, b = 5.148 Å, c = 5.148 Å
α = 90.00°, β = 90.00°, γ = 90.00°
Each line ends with the local moment (μB).
Fractional positions:
Ag1 0.000 0.000 0.000  0.04
Mn1 0.000 0.000 0.500  4.66
Mn2 0.000 0.500 0.000  4.67
Mn3 0.500 0.000 0.000  4.62
F1 0.500 0.500 0.500  0.07